# 1
Below is a geometry-optimized Ho2ErAs3 structure, with properties calculated at the PBE level.

Output
**Space-group type**: P-3m1
**Raw total energy**: -36.82 eV/cell
**Magnetic moment**: 0.01 μB/f.u.

Cell and atoms, written as extended XYZ:
```
6
Lattice="4.0820 0.0000 0.0000 -2.0410 3.5351 0.0000 0.0000 0.0000 10.0311" Properties=species:S:1:pos:R:3 pbc="T T T"
Ho 0.0000 2.3568 3.3433
Ho 2.0410 1.1784 6.6878
Er 0.0000 0.0000 0.0000
As 0.0000 0.0000 5.0156
As 0.0000 2.3568 8.3616
As 2.0410 1.1784 1.6695
```

# 2
Below is a geometry-optimized HoEr2As3 structure, with properties calculated at the PBE level.

Output
**Space-group type**: P-3m1
**Raw total energy**: -36.79 eV/cell
**Magnetic moment**: 0.01 μB/f.u.

Cell and atoms, written as extended XYZ:
```
6
Lattice="4.0763 0.0000 0.0000 -2.0381 3.5301 0.0000 0.0000 0.0000 10.0167" Properties=species:S:1:pos:R:3 pbc="T T T"
Ho 0.0000 0.0000 0.0000
Er 0.0000 2.3534 3.3393
Er 2.0381 1.1767 6.6774
As 0.0000 0.0000 5.0083
As 0.0000 2.3534 8.3449
As 2.0381 1.1767 1.6718
```

# 3
Below is a geometry-optimized HoErNi2As2 structure, with properties calculated at the PBE level.

Output
**Space-group type**: P6_3/mmc
**Raw total energy**: -71.93 eV/cell
**Magnetic moment**: 0.00 μB/f.u.

Cell and atoms, written as extended XYZ:
```
12
Lattice="4.0533 0.0000 0.0000 -2.0266 3.5102 0.0000 0.0000 0.0000 15.1233" Properties=species:S:1:pos:R:3 pbc="T T T"
Ho 0.0000 0.0000 0.0000
Ho 0.0000 0.0000 7.5617
Er 0.0000 0.0000 3.7808
Er 0.0000 0.0000 11.3425
Ni 0.0000 2.3402 2.0418
Ni 0.0000 2.3402 5.5199
Ni 2.0266 1.1701 9.6034
Ni 2.0266 1.1701 13.0815
As 0.0000 2.3402 9.3804
As 0.0000 2.3402 13.3046
As 2.0266 1.1701 1.8187
As 2.0266 1.1701 5.7429
```

# 4
Below is a geometry-optimized HoErAsO structure, with properties calculated at the PBE level.

Output
**Space-group type**: Pmc2_1
**Raw total energy**: -53.28 eV/cell
**Magnetic moment**: 0.01 μB/f.u.

Cell and atoms, written as extended XYZ:
```
8
Lattice="4.1395 0.0000 0.0000 0.0000 7.5602 0.0000 0.0000 0.0000 5.8463" Properties=species:S:1:pos:R:3 pbc="T T T"
Ho 0.0000 1.6237 0.0000
Ho 0.0000 5.9365 2.9231
Er 2.0698 2.9139 3.3287
Er 2.0698 4.6464 0.4056
As 0.0000 1.1938 2.8668
As 0.0000 6.3664 5.7899
O 2.0698 2.5055 5.4959
O 2.0698 5.0547 2.5728
```

# 5
Below is a geometry-optimized HoErAsO structure, with properties calculated at the PBE level.

Output
**Space-group type**: Pmc2_1
**Raw total energy**: -53.21 eV/cell
**Magnetic moment**: 0.01 μB/f.u.

Cell and atoms, written as extended XYZ:
```
8
Lattice="4.1198 0.0000 0.0000 0.0000 7.5874 0.0000 0.0000 0.0000 5.8148" Properties=species:S:1:pos:R:3 pbc="T T T"
Ho 0.0000 0.8821 0.0000
Ho 0.0000 6.7053 2.9074
Er 2.0599 2.1591 2.5289
Er 2.0599 5.4283 5.4363
As 2.0599 2.6295 5.3806
As 2.0599 4.9579 2.4732
O 0.0000 1.2958 2.1765
O 0.0000 6.2916 5.0839
```

# 6
Below is a geometry-optimized HoErAsO structure, with properties calculated at the PBE level.

Output
**Space-group type**: P4/nmm
**Raw total energy**: -52.52 eV/cell
**Magnetic moment**: 0.00 μB/f.u.

Cell and atoms, written as extended XYZ:
```
8
Lattice="4.3091 0.0000 0.0000 0.0000 4.3091 0.0000 0.0000 0.0000 8.6909" Properties=species:S:1:pos:R:3 pbc="T T T"
Ho 1.0773 3.2318 0.0000
Ho 3.2318 1.0773 0.0000
Er 1.0773 1.0773 3.4931
Er 3.2318 3.2318 5.1978
As 1.0773 1.0773 6.8900
As 3.2318 3.2318 1.8009
O 1.0773 3.2318 4.3454
O 3.2318 1.0773 4.3454
```

# 7
Below is a geometry-optimized HoErAsO structure, with properties calculated at the PBE level.

Output
**Space-group type**: P4/nmm
**Raw total energy**: -52.65 eV/cell
**Magnetic moment**: 0.01 μB/f.u.

Cell and atoms, written as extended XYZ:
```
8
Lattice="4.3052 0.0000 0.0000 0.0000 4.3052 0.0000 0.0000 0.0000 8.7091" Properties=species:S:1:pos:R:3 pbc="T T T"
Ho 1.0763 1.0763 0.8753
Ho 3.2289 3.2289 7.8337
Er 1.0763 3.2289 4.3545
Er 3.2289 1.0763 4.3545
As 1.0763 1.0763 6.1408
As 3.2289 3.2289 2.5683
O 1.0763 3.2289 0.0000
O 3.2289 1.0763 0.0000
```

# 8
Below is a geometry-optimized Ho3Er2TmAs2Os structure, with properties calculated at the PBE level.

Output
**Space-group type**: Amm2
**Raw total energy**: -54.72 eV/cell
**Magnetic moment**: 0.07 μB/f.u.

Cell and atoms, written as extended XYZ:
```
9
Lattice="4.1383 0.0000 0.0000 0.0000 6.7622 3.9139 0.0000 -6.7622 3.9139" Properties=species:S:1:pos:R:3 pbc="T T T"
Ho 0.0000 0.0000 0.0000
Ho 0.0000 -2.7262 3.0822
Ho 0.0000 2.7262 3.0822
Er 2.0691 -1.6548 5.6190
Er 2.0691 1.6548 5.6190
Tm 2.0691 0.0000 2.7418
As 2.0691 -4.5158 4.6632
As 2.0691 4.5158 4.6632
Os 0.0000 0.0000 4.6420
```

Number 1: V 24.1 Å³ per atom. Number 2: V 24.0 Å³ per atom. Number 3: V 17.9 Å³ per atom. Number 4: V 22.9 Å³ per atom. Number 5: V 22.7 Å³ per atom. Number 6: V 20.2 Å³ per atom. Number 7: V 20.2 Å³ per atom. Number 8: V 24.3 Å³ per atom.